Entry 1:
Compound: Zr2SiTe
Source: Alexandria
Functional: PBE
Structure: relaxed

As for the symmetry: P2/m (10).

Cell lengths 3.664, 3.437, 7.117 Å; angles 70.41, 90.00, 90.00 degrees
Sites, in units of the cell vectors:
1 Si 0.500 0.250 0.250
2 Te 0.500 0.750 0.750
3 Zr 0.000 0.448 0.479
4 Zr 0.000 0.052 0.021


Entry 2:
Compound: ZrSiTe
Source: Alexandria
Functional: PBE
Structure: relaxed

As for the symmetry: Fmm2 (42).

Cell lengths 7.321, 7.183, 3.258 Å; angles 79.38, 74.68, 25.94 degrees
Sites, in units of the cell vectors:
1 Te 0.311 0.311 0.689
2 Zr 0.659 0.659 0.341
3 Si 0.031 0.031 0.969


The calculation returns the following formation energy (no corrections) values, one per record and in order: -12.656 -1.884 kcal/mol of atoms.